<one>
Here is crystalline Tl2CuSb at its relaxed geometry from the Alexandria database. Energies are from GGA-PBE.

N(E_F) (states/eV/cell): 2.5
SG: Immm, No. 71
Volume (Å³ per cell): 219.0
Size of the total moment (μB/f.u.): 0.0

a = 3.4155 Å, b = 4.2300 Å, c = 15.1599 Å
α = 90.00°, β = 90.00°, γ = 90.00°
With the nearest neighbours (Å) after each atom.
Element x y z (fractional)
Tl 0.0000 0.0000 0.1722  2 Cu 3.12, 2 Sb 3.36, 2 Tl 3.42
Tl 0.0000 0.0000 0.8278  2 Cu 3.12, 2 Sb 3.36, 2 Tl 3.42
Tl 0.5000 0.5000 0.3278  2 Cu 3.12, 2 Sb 3.36, 2 Tl 3.42
Tl 0.5000 0.5000 0.6722  2 Cu 3.12, 2 Sb 3.36, 2 Tl 3.42
Cu 0.0000 0.5000 0.5000  4 Sb 2.72
Cu 0.5000 0.0000 0.0000  4 Sb 2.72
Sb 0.0000 0.5000 0.0000  4 Cu 2.72
Sb 0.5000 0.0000 0.5000  4 Cu 2.72

<two>
Here is crystalline Tl2CuSb at its relaxed geometry from the Alexandria database. Energies are from GGA-PBE.

N(E_F) (states/eV/cell): 2.7
SG: Cmm2, No. 35
Volume (Å³ per cell): 206.1
Size of the total moment (μB/f.u.): 0.0

a = 4.4520 Å, b = 5.0951 Å, c = 9.0865 Å
α = 90.00°, β = 90.00°, γ = 90.00°
With the nearest neighbours (Å) after each atom.
Element x y z (fractional)
Tl 0.0000 0.0000 0.0000  6 Tl 3.38-3.64, 4 Sb 3.53-3.74
Tl 0.0000 0.5000 0.3166  4 Cu 2.98-3.22
Tl 0.5000 0.0000 0.3166  4 Cu 2.98-3.22
Tl 0.5000 0.5000 0.0000  6 Tl 3.38-3.64, 4 Sb 3.53-3.74
Cu 0.0000 0.0000 0.5340  4 Sb 2.68-2.95, 2 Tl 2.98
Cu 0.5000 0.5000 0.5340  4 Sb 2.68-2.95, 2 Tl 2.98
Sb 0.0000 0.5000 0.6981  4 Cu 2.68-2.95
Sb 0.5000 0.0000 0.6981  4 Cu 2.68-2.95

<three>
Here is crystalline Tl2CuSb at its relaxed geometry from the Alexandria database. Energies are from GGA-PBE.

N(E_F) (states/eV/cell): 0.9
SG: I-42d, No. 122
Volume (Å³ per cell): 482.9
Size of the total moment (μB/f.u.): 0.0

a = 9.9201 Å, b = 9.9201 Å, c = 4.9072 Å
α = 90.00°, β = 90.00°, γ = 90.00°
With the nearest neighbours (Å) after each atom.
Element x y z (fractional)
Tl 0.1406 0.2500 0.1250  2 Cu 2.91
Tl 0.2500 0.6406 0.3750  2 Cu 2.91
Tl 0.2500 0.8594 0.8750  2 Cu 2.91
Tl 0.3594 0.2500 0.6250  2 Cu 2.91
Tl 0.6406 0.7500 0.6250  2 Cu 2.91
Tl 0.7500 0.1406 0.8750  2 Cu 2.91
Tl 0.7500 0.3594 0.3750  2 Cu 2.91
Tl 0.8594 0.7500 0.1250  2 Cu 2.91
Cu 0.0000 0.0000 0.0000  2 Sb 2.45
Cu 0.0000 0.5000 0.2500  2 Sb 2.45
Cu 0.5000 0.0000 0.7500  2 Sb 2.45
Cu 0.5000 0.5000 0.5000  2 Sb 2.45
Sb 0.0000 0.0000 0.5000  2 Cu 2.45
Sb 0.0000 0.5000 0.7500  2 Cu 2.45
Sb 0.5000 0.0000 0.2500  2 Cu 2.45
Sb 0.5000 0.5000 0.0000  2 Cu 2.45

Most stable: <one>. Least stable: <three>.

<one>
Here is crystalline Tl2CuSb at its relaxed geometry from the Alexandria database. Energies are from GGA-PBE.

N(E_F) (states/eV/cell): 0.9
SG: P2/m, No. 10
Volume (Å³ per cell): 102.3
Size of the total moment (μB/f.u.): 0.0

a = 5.3140 Å, b = 3.4384 Å, c = 5.8498 Å
α = 90.00°, β = 106.81°, γ = 90.00°
With the nearest neighbours (Å) after each atom.
Element x y z (fractional)
Tl 0.0000 0.0000 0.0000  6 Tl 3.16-3.44, 2 Sb 3.33, 4 Cu 3.39
Tl 0.5000 0.5000 0.0000  6 Tl 3.16-3.44, 2 Cu 3.33, 4 Sb 3.39
Cu 0.0000 0.5000 0.5000  4 Sb 3.16, 6 Tl 3.33-3.39, 2 Cu 3.44
Sb 0.5000 0.0000 0.5000  4 Cu 3.16, 6 Tl 3.33-3.39, 2 Sb 3.44

<two>
Here is crystalline Tl2CuSb at its relaxed geometry from the Alexandria database. Energies are from GGA-PBE.

N(E_F) (states/eV/cell): 1.3
SG: P2/m, No. 10
Volume (Å³ per cell): 107.8
Size of the total moment (μB/f.u.): 0.0

a = 3.6219 Å, b = 5.5208 Å, c = 5.4057 Å
α = 90.00°, β = 94.14°, γ = 90.00°
With the nearest neighbours (Å) after each atom.
Element x y z (fractional)
Tl 0.2214 0.0000 0.2575  3 Tl 3.11-3.19, 2 Cu 3.19, 2 Sb 3.28
Tl 0.7786 0.0000 0.7425  3 Tl 3.11-3.19, 2 Cu 3.19, 2 Sb 3.28
Cu 0.5000 0.5000 0.5000  2 Sb 2.70
Sb 0.5000 0.5000 0.0000  2 Cu 2.70

Most stable: <two>. Least stable: <one>.

<one>
Here is crystalline Tl2CuSb at its relaxed geometry from the Alexandria database. Energies are from GGA-PBE.

N(E_F) (states/eV/cell): 9.1
SG: R-3m, No. 166
Volume (Å³ per cell): 301.5
Size of the total moment (μB/f.u.): 0.0

a = 3.5002 Å, b = 3.5002 Å, c = 28.4195 Å
α = 90.00°, β = 90.00°, γ = 120.00°
With the nearest neighbours (Å) after each atom.
Element x y z (fractional)
Tl 0.0000 0.0000 0.2362  3 Cu 2.83
Tl 0.0000 0.0000 0.7638  3 Cu 2.83
Tl 0.3333 0.6667 0.4305  3 Cu 2.83
Tl 0.3333 0.6667 0.9028  3 Cu 2.83
Tl 0.6667 0.3333 0.0972  3 Cu 2.83
Tl 0.6667 0.3333 0.5695  3 Cu 2.83
Cu 0.0000 0.0000 0.5000  6 Tl 2.83
Cu 0.3333 0.6667 0.1667  6 Tl 2.83
Cu 0.6667 0.3333 0.8333  6 Tl 2.83
Sb 0.0000 0.0000 0.0000  6 Tl 3.42, 6 Sb 3.50
Sb 0.3333 0.6667 0.6667  6 Tl 3.42, 6 Sb 3.50
Sb 0.6667 0.3333 0.3333  6 Tl 3.42, 6 Sb 3.50

<two>
Here is crystalline Tl2CuSb at its relaxed geometry from the Alexandria database. Energies are from GGA-PBE.

N(E_F) (states/eV/cell): 1.5
SG: Pm, No. 6
Volume (Å³ per cell): 105.5
Size of the total moment (μB/f.u.): 0.0

a = 3.3619 Å, b = 3.8346 Å, c = 8.3372 Å
α = 90.00°, β = 101.05°, γ = 90.00°
With the nearest neighbours (Å) after each atom.
Element x y z (fractional)
Tl 0.0000 0.0000 0.0000  4 Cu 2.91-2.92
Tl 0.3337 0.5000 0.6807  6 Tl 3.36-3.67, 4 Sb 3.49-3.50
Cu 0.5838 0.5000 0.1721  2 Sb 2.61, 4 Tl 2.91-2.92
Sb 0.6909 0.0000 0.3881  2 Cu 2.61

<three>
Here is crystalline Tl2CuSb at its relaxed geometry from the Alexandria database. Energies are from GGA-PBE.

N(E_F) (states/eV/cell): 1.2
SG: P4/mmm, No. 123
Volume (Å³ per cell): 99.3
Size of the total moment (μB/f.u.): 0.0

a = 3.3481 Å, b = 3.3481 Å, c = 8.8584 Å
α = 90.00°, β = 90.00°, γ = 90.00°
With the nearest neighbours (Å) after each atom.
Element x y z (fractional)
Tl 0.0000 0.0000 0.2025  4 Cu 2.97
Tl 0.0000 0.0000 0.7975  4 Cu 2.97
Cu 0.5000 0.5000 0.0000  8 Tl 2.97
Sb 0.5000 0.5000 0.5000  4 Sb 3.35, 8 Tl 3.54

<four>
Here is crystalline Tl2CuSb at its relaxed geometry from the Alexandria database. Energies are from GGA-PBE.

N(E_F) (states/eV/cell): 3.3
SG: I4/mmm, No. 139
Volume (Å³ per cell): 204.7
Size of the total moment (μB/f.u.): 0.0

a = 4.4566 Å, b = 4.4566 Å, c = 10.3047 Å
α = 90.00°, β = 90.00°, γ = 90.00°
With the nearest neighbours (Å) after each atom.
Element x y z (fractional)
Tl 0.0000 0.5000 0.2500  4 Tl 3.15, 4 Cu 3.41, 4 Sb 3.41
Tl 0.0000 0.5000 0.7500  4 Tl 3.15, 4 Sb 3.41, 4 Cu 3.41
Tl 0.5000 0.0000 0.2500  4 Tl 3.15, 4 Cu 3.41, 4 Sb 3.41
Tl 0.5000 0.0000 0.7500  4 Tl 3.15, 4 Sb 3.41, 4 Cu 3.41
Cu 0.0000 0.0000 0.0000  4 Sb 3.15, 8 Tl 3.41
Cu 0.5000 0.5000 0.5000  4 Sb 3.15, 8 Tl 3.41
Sb 0.0000 0.0000 0.5000  4 Cu 3.15, 8 Tl 3.41
Sb 0.5000 0.5000 0.0000  4 Cu 3.15, 8 Tl 3.41

Most stable: <two>. Least stable: <four>.

<one>
Here is crystalline Tl2CuSb at its relaxed geometry from the Alexandria database. Energies are from GGA-PBE.

N(E_F) (states/eV/cell): 3.6
SG: Imm2, No. 44
Volume (Å³ per cell): 208.5
Size of the total moment (μB/f.u.): 0.0

a = 3.3723 Å, b = 5.3165 Å, c = 11.6312 Å
α = 90.00°, β = 90.00°, γ = 90.00°
With the nearest neighbours (Å) after each atom.
Element x y z (fractional)
Tl 0.0000 0.0000 0.0000  4 Cu 3.15, 4 Tl 3.37-3.50, 2 Sb 3.49
Tl 0.0000 0.5000 0.1957  2 Cu 3.01
Tl 0.5000 0.0000 0.6957  2 Cu 3.01
Tl 0.5000 0.5000 0.5000  4 Cu 3.15, 4 Tl 3.37-3.50, 2 Sb 3.49
Cu 0.0000 0.0000 0.4819  2 Sb 2.66
Cu 0.5000 0.5000 0.9819  2 Sb 2.66
Sb 0.0000 0.5000 0.8055  2 Cu 2.66
Sb 0.5000 0.0000 0.3055  2 Cu 2.66

<two>
Here is crystalline Tl2CuSb at its relaxed geometry from the Alexandria database. Energies are from GGA-PBE.

N(E_F) (states/eV/cell): 3.4
SG: Fm-3m, No. 225
Volume (Å³ per cell): 417.3
Size of the total moment (μB/f.u.): 0.0

a = 7.4730 Å, b = 7.4730 Å, c = 7.4730 Å
α = 90.00°, β = 90.00°, γ = 90.00°
With the nearest neighbours (Å) after each atom.
Element x y z (fractional)
Tl 0.2500 0.2500 0.2500  4 Cu 3.24, 4 Sb 3.24
Tl 0.2500 0.2500 0.7500  4 Sb 3.24, 4 Cu 3.24
Tl 0.2500 0.7500 0.2500  4 Sb 3.24, 4 Cu 3.24
Tl 0.2500 0.7500 0.7500  4 Cu 3.24, 4 Sb 3.24
Tl 0.7500 0.2500 0.2500  4 Sb 3.24, 4 Cu 3.24
Tl 0.7500 0.2500 0.7500  4 Cu 3.24, 4 Sb 3.24
Tl 0.7500 0.7500 0.2500  4 Cu 3.24, 4 Sb 3.24
Tl 0.7500 0.7500 0.7500  4 Sb 3.24, 4 Cu 3.24
Cu 0.0000 0.0000 0.0000  8 Tl 3.24
Cu 0.0000 0.5000 0.5000  8 Tl 3.24
Cu 0.5000 0.0000 0.5000  8 Tl 3.24
Cu 0.5000 0.5000 0.0000  8 Tl 3.24
Sb 0.0000 0.0000 0.5000  8 Tl 3.24
Sb 0.0000 0.5000 0.0000  8 Tl 3.24
Sb 0.5000 0.0000 0.0000  8 Tl 3.24
Sb 0.5000 0.5000 0.5000  8 Tl 3.24

Most stable: <one>. Least stable: <two>.

<one>
Here is crystalline Tl2CuSb at its relaxed geometry from the Alexandria database. Energies are from GGA-PBE.

N(E_F) (states/eV/cell): 1.6
SG: P4mm, No. 99
Volume (Å³ per cell): 101.8
Size of the total moment (μB/f.u.): 0.0

a = 3.3690 Å, b = 3.3690 Å, c = 8.9682 Å
α = 90.00°, β = 90.00°, γ = 90.00°
With the nearest neighbours (Å) after each atom.
Element x y z (fractional)
Tl 0.0000 0.0000 0.0000  8 Tl 3.37-3.67, 4 Sb 3.61
Tl 0.5000 0.5000 0.3111  4 Cu 3.09, 4 Tl 3.37
Cu 0.0000 0.0000 0.5301  4 Sb 2.81, 4 Tl 3.09
Sb 0.5000 0.5000 0.6972  4 Cu 2.81

<two>
Here is crystalline Tl2CuSb at its relaxed geometry from the Alexandria database. Energies are from GGA-PBE.

N(E_F) (states/eV/cell): 0.8
SG: P4/mmm, No. 123
Volume (Å³ per cell): 102.5
Size of the total moment (μB/f.u.): 0.0

a = 4.3548 Å, b = 4.3548 Å, c = 5.4072 Å
α = 90.00°, β = 90.00°, γ = 90.00°
With the nearest neighbours (Å) after each atom.
Element x y z (fractional)
Tl 0.0000 0.5000 0.0000  4 Tl 3.08
Tl 0.5000 0.0000 0.0000  4 Tl 3.08
Cu 0.0000 0.0000 0.5000  4 Sb 3.08
Sb 0.5000 0.5000 0.5000  4 Cu 3.08

<three>
Here is crystalline Tl2CuSb at its relaxed geometry from the Alexandria database. Energies are from GGA-PBE.

N(E_F) (states/eV/cell): 2.4
SG: Cm, No. 8
Volume (Å³ per cell): 237.5
Size of the total moment (μB/f.u.): 0.0

a = 7.7365 Å, b = 4.4682 Å, c = 7.3323 Å
α = 90.00°, β = 110.43°, γ = 90.00°
With the nearest neighbours (Å) after each atom.
Element x y z (fractional)
Tl 0.0000 0.0000 0.0000  3 Cu 3.27-3.28, 3 Sb 3.34-3.35
Tl 0.2047 0.0000 0.6165  3 Sb 3.33, 3 Cu 3.40, 3 Tl 3.68-3.69
Tl 0.5000 0.5000 0.0000  3 Cu 3.27-3.28, 3 Sb 3.34-3.35
Tl 0.7047 0.5000 0.6165  3 Sb 3.33, 3 Cu 3.40, 3 Tl 3.68-3.69
Cu 0.2648 0.5000 0.2943  3 Sb 2.58
Cu 0.7648 0.0000 0.2943  3 Sb 2.58
Sb 0.4368 0.0000 0.3103  3 Cu 2.58
Sb 0.9368 0.5000 0.3103  3 Cu 2.58

Most stable: <three>. Least stable: <two>.

<one>
Here is crystalline VCuSb2 at its relaxed geometry from the Alexandria database. Energies are from GGA-PBE.

N(E_F) (states/eV/cell): 7.4
SG: I-42d, No. 122
Volume (Å³ per cell): 429.9
Size of the total moment (μB/f.u.): 0.0

a = 6.0391 Å, b = 6.0391 Å, c = 11.7883 Å
α = 90.00°, β = 90.00°, γ = 90.00°
With the nearest neighbours (Å) after each atom.
Element x y z (fractional)
V 0.0000 0.0000 0.0000  4 Sb 2.60
V 0.0000 0.5000 0.2500  4 Sb 2.60
V 0.5000 0.0000 0.7500  4 Sb 2.60
V 0.5000 0.5000 0.5000  4 Sb 2.60
Cu 0.0000 0.0000 0.5000  4 Sb 2.59
Cu 0.0000 0.5000 0.7500  4 Sb 2.59
Cu 0.5000 0.0000 0.2500  4 Sb 2.59
Cu 0.5000 0.5000 0.0000  4 Sb 2.59
Sb 0.2492 0.2500 0.6250  2 Cu 2.59, 2 V 2.60
Sb 0.2500 0.7492 0.8750  2 Cu 2.59, 2 V 2.60
Sb 0.2500 0.7508 0.3750  2 Cu 2.59, 2 V 2.60
Sb 0.2508 0.2500 0.1250  2 Cu 2.59, 2 V 2.60
Sb 0.7492 0.7500 0.1250  2 Cu 2.59, 2 V 2.60
Sb 0.7500 0.2492 0.3750  2 Cu 2.59, 2 V 2.60
Sb 0.7500 0.2508 0.8750  2 Cu 2.59, 2 V 2.60
Sb 0.7508 0.7500 0.6250  2 Cu 2.59, 2 V 2.60

<two>
Here is crystalline VCuSb2 at its relaxed geometry from the Alexandria database. Energies are from GGA-PBE.

N(E_F) (states/eV/cell): 9.5
SG: Fm-3m, No. 225
Volume (Å³ per cell): 314.5
Size of the total moment (μB/f.u.): 3.0

a = 6.8005 Å, b = 6.8005 Å, c = 6.8005 Å
α = 90.00°, β = 90.00°, γ = 90.00°
With the nearest neighbours (Å) after each atom.
Element x y z (fractional)
V 0.0000 0.0000 0.0000  8 Sb 2.94
V 0.0000 0.5000 0.5000  8 Sb 2.94
V 0.5000 0.0000 0.5000  8 Sb 2.94
V 0.5000 0.5000 0.0000  8 Sb 2.94
Cu 0.0000 0.0000 0.5000  8 Sb 2.94
Cu 0.0000 0.5000 0.0000  8 Sb 2.94
Cu 0.5000 0.0000 0.0000  8 Sb 2.94
Cu 0.5000 0.5000 0.5000  8 Sb 2.94
Sb 0.2500 0.2500 0.2500  4 V 2.94, 4 Cu 2.94
Sb 0.2500 0.2500 0.7500  4 Cu 2.94, 4 V 2.94
Sb 0.2500 0.7500 0.2500  4 Cu 2.94, 4 V 2.94
Sb 0.2500 0.7500 0.7500  4 V 2.94, 4 Cu 2.94
Sb 0.7500 0.2500 0.2500  4 Cu 2.94, 4 V 2.94
Sb 0.7500 0.2500 0.7500  4 V 2.94, 4 Cu 2.94
Sb 0.7500 0.7500 0.2500  4 V 2.94, 4 Cu 2.94
Sb 0.7500 0.7500 0.7500  4 Cu 2.94, 4 V 2.94

<three>
Here is crystalline VCuSb2 at its relaxed geometry from the Alexandria database. Energies are from GGA-PBE.

N(E_F) (states/eV/cell): 5.5
SG: R-3m, No. 166
Volume (Å³ per cell): 257.7
Size of the total moment (μB/f.u.): 0.1

a = 3.3644 Å, b = 3.3644 Å, c = 26.2888 Å
α = 90.00°, β = 90.00°, γ = 120.00°
With the nearest neighbours (Å) after each atom.
Element x y z (fractional)
V 0.0000 0.0000 0.0000  6 Sb 2.70
V 0.3333 0.6667 0.6667  6 Sb 2.70
V 0.6667 0.3333 0.3333  6 Sb 2.70
Cu 0.0000 0.0000 0.5000  2 Sb 2.51
Cu 0.3333 0.6667 0.1667  2 Sb 2.51
Cu 0.6667 0.3333 0.8333  2 Sb 2.51
Sb 0.0000 0.0000 0.4047  1 Cu 2.51, 3 V 2.70
Sb 0.0000 0.0000 0.5953  1 Cu 2.51, 3 V 2.70
Sb 0.3333 0.6667 0.0713  1 Cu 2.51, 3 V 2.70
Sb 0.3333 0.6667 0.2620  1 Cu 2.51, 3 V 2.70
Sb 0.6667 0.3333 0.7380  1 Cu 2.51, 3 V 2.70
Sb 0.6667 0.3333 0.9287  1 Cu 2.51, 3 V 2.70

Most stable: <three>. Least stable: <one>.